A geometry-optimized Li2PrY2Si2 structure. Source: Alexandria, functional PBE.

a b c (Å): 4.493 4.493 9.388
angles (deg): 76.16 76.16 60.00
Element x y z (fractional)
Pr (0.000, 0.000, 0.000)
Y (0.872, 0.872, 0.385)
Y (0.128, 0.128, 0.615)
Si (0.741, 0.741, 0.776)
Si (0.259, 0.259, 0.224)
Li (0.594, 0.594, 0.217)
Li (0.406, 0.406, 0.783)

Symmetry: R-3m
M_tot, μB per formula unit: 0.00
Formation energy without anion corrections, eV/atom: -0.41